VASP calculation (GGA-PBE) on an optimized crystal structure of KBaSr2As.

Unit cell a=6.2463 b=6.2463 c=6.5890 alpha=90.00 beta=90.00 gamma=90.00
Closest atoms and distances in Å follow each position.
Positions (direct):
Sr 0.0000 0.5000 0.0000  2 As 3.12
Sr 0.5000 0.0000 0.0000  2 As 3.12
As 0.0000 0.0000 0.0000  4 Sr 3.12, 2 Ba 3.29
K 0.5000 0.5000 0.5000  4 Ba 4.42, 8 Sr 4.54
Ba 0.0000 0.0000 0.5000  2 As 3.29

Properties
**Formation enthalpy at 0 K**: -2.29 eV per formula unit
**Electronic total energy**: -2.665 eV per atom
**Magnetization**: 0.021 μB/atom
**Energy above the most stable polymorph in this dataset**: 0 meV per atom
**Symmetry**: P4/mmm, No. 123

VASP calculation (GGA-PBE) on an optimized crystal structure of KBaSr2As.

Unit cell a=6.4396 b=5.8845 c=6.4396 alpha=90.00 beta=90.00 gamma=90.00
Closest atoms and distances in Å follow each position.
Positions (direct):
Sr 0.0000 0.0000 0.5000  2 K 3.22
Sr 0.5000 0.0000 0.0000  2 K 3.22
Ba 0.5000 0.5000 0.5000  8 Sr 4.36, 4 As 4.55
K 0.0000 0.0000 0.0000  2 As 2.94, 4 Sr 3.22
As 0.0000 0.5000 0.0000  2 K 2.94

Properties
**Formation enthalpy at 0 K**: 1.70 eV per formula unit
**Electronic total energy**: -1.866 eV per atom
**Magnetization**: 0.255 μB/atom
**Energy above the most stable polymorph in this dataset**: 799 meV per atom
**Symmetry**: P4/mmm, No. 123